Here is La2NdEr5Sc after structural relaxation from the Alexandria database. Energies are from PBE.

Structure (CIF):
```
data_La2NdEr5Sc
_space_group_name_H-M_alt 'C m c 21'
_space_group_IT_number 36
_cell_length_a 5.601
_cell_length_b 19.674
_cell_length_c 10.520
_cell_angle_alpha 90.00
_cell_angle_beta 90.00
_cell_angle_gamma 90.00
loop_
_space_group_symop_operation_xyz
'x,y,z'
'-x,-y,z+1/2'
'-x,y,z'
'x,-y,z+1/2'
'x+1/2,y+1/2,z'
'-x+1/2,-y+1/2,z+1/2'
'-x+1/2,y+1/2,z'
'x+1/2,-y+1/2,z+1/2'
loop_
_atom_site_label
_atom_site_fract_x
_atom_site_fract_y
_atom_site_fract_z
La1 0.000 0.114 0.000
La2 0.000 0.116 0.419
Nd1 0.000 0.413 0.148
Er1 0.000 0.016 0.707
Er2 0.000 0.278 0.008
Er3 0.000 0.296 0.390
Er4 0.000 0.376 0.705
Er5 0.000 0.483 0.426
Sc1 0.000 0.199 0.700
```

Calculated formation energy (meV/atom): 158
DOS(E_F) (states/eV per atom): 1.275
Total moment (μB per atom): 0.00